Record 1
Computed, not measured: a relaxed structure of Pr4Dy5 at the PBE level of DFT.

a b c (Å): 10.8688 10.8688 5.1015
angles (deg): 90.00 90.00 90.00
Space group I4/mmm (No. 139)
Inequivalent atoms, fractional coordinates:
Pr (0.1667, 0.1667, 0.0000)
Dy (0.0000, 0.0000, 0.5000)
Dy (0.0000, 0.3353, 0.5000)


Record 2
Computed, not measured: a relaxed structure of Pr2Dy17 at the PBE level of DFT.

a b c (Å): 11.2361 11.2361 17.5232
angles (deg): 90.00 90.00 120.00
Space group R-3m (No. 166, hexagonal axes)
Inequivalent atoms, fractional coordinates:
Pr (0.0000, 0.0000, 0.1721)
Dy (0.0000, 0.0000, 0.4041)
Dy (0.0000, 0.2973, 0.5000)
Dy (0.0000, 0.5000, 0.0000)
Dy (0.0114, 0.5057, 0.6376)


Record 3
Computed, not measured: a relaxed structure of Pr5Dy7 at the PBE level of DFT.

Output
Excess energy over the best structure of this formula in the dataset ... 0 meV/atom

a b c (Å): 18.8193 3.6346 13.2800
angles (deg): 90.00 118.20 90.00
Space group C2/m (No. 12)
Inequivalent atoms, fractional coordinates:
Pr (0.0000, 0.0000, 0.0000)
Pr (0.1648, 0.0000, 0.4971)
Pr (0.1948, 0.5000, 0.7514)
Dy (0.0000, 0.5000, 0.5000)
Dy (0.0273, 0.0000, 0.7504)
Dy (0.1374, 0.5000, 0.2479)
Dy (0.1660, 0.5000, 0.9967)


Record 4
Computed, not measured: a relaxed structure of Pr4Dy at the PBE level of DFT.

Output
Excess energy over the best structure of this formula in the dataset ... 603 meV/atom

a b c (Å): 5.8886 5.8886 5.8886
angles (deg): 90.00 90.00 90.00
Space group Pm-3m (No. 221)
Inequivalent atoms, fractional coordinates:
Pr (0.0000, 0.0000, 0.0000)
Pr (0.0000, 0.5000, 0.5000)
Dy (0.5000, 0.5000, 0.5000)


Record 5
Computed, not measured: a relaxed structure of Pr3Dy2 at the PBE level of DFT.

a b c (Å): 6.4194 16.8187 6.3602
angles (deg): 90.00 90.00 90.00
Space group Ibam (No. 72)
Inequivalent atoms, fractional coordinates:
Pr (0.0000, 0.0000, 0.2500)
Pr (0.0973, 0.4003, 0.0000)
Dy (0.1269, 0.1946, 0.0000)


Record 6
Computed, not measured: a relaxed structure of Pr5Dy7 at the PBE level of DFT.

Output
Excess energy over the best structure of this formula in the dataset ... 172 meV/atom

a b c (Å): 9.6845 5.8177 14.9031
angles (deg): 90.00 103.86 90.00
Space group C2/m (No. 12)
Inequivalent atoms, fractional coordinates:
Pr (0.0000, 0.0000, 0.0000)
Pr (0.1191, 0.5000, 0.7982)
Pr (0.1363, 0.0000, 0.4355)
Dy (0.0000, 0.5000, 0.5000)
Dy (0.0467, 0.0000, 0.2145)
Dy (0.1832, 0.5000, 0.0838)
Dy (0.2414, 0.0000, 0.6725)


| no. | V (Å³ per atom) | VASP energy (eV/atom) |
| --- | --- | --- |
| 1 | 33.480 | -4.662 |
| 2 | 33.612 | -4.346 |
| 3 | 33.356 | -4.670 |
| 4 | 40.839 | -4.129 |
| 5 | 34.335 | -4.560 |
| 6 | 33.968 | -4.498 |